No. 1
DFT (PBE) results for a relaxed structure of NbAl2B.

Summary:
energy relative to the elements	0.066	eV per atom
crystal system	tetragonal

```
data_NbAl2B
_symmetry_space_group_name_H-M 'I -4 2 d'
_symmetry_Int_Tables_number 122
_symmetry_space_group_name_Hall 'I -4 2bw'
_cell_length_a 6.980
_cell_length_b 6.980
_cell_length_c 4.754
_cell_angle_alpha 90.00
_cell_angle_beta 90.00
_cell_angle_gamma 90.00
loop_
_atom_site_label
_atom_site_type_symbol
_atom_site_fract_x
_atom_site_fract_y
_atom_site_fract_z
_atom_site_occupancy
Nb1 Nb 0.000 0.000 0.000 1
Al1 Al 0.166 0.750 0.625 1
B1 B 0.000 0.000 0.500 1
```

=====

No. 2
DFT (PBE) results for a relaxed structure of LiTmScPd.

Summary:
energy relative to the elements	-0.435	eV per atom
crystal system	cubic

```
data_LiTmScPd
_symmetry_space_group_name_H-M 'F -4 3 m'
_symmetry_Int_Tables_number 216
_symmetry_space_group_name_Hall 'F -4 2 3'
_cell_length_a 6.846
_cell_length_b 6.846
_cell_length_c 6.846
_cell_angle_alpha 90.00
_cell_angle_beta 90.00
_cell_angle_gamma 90.00
loop_
_atom_site_label
_atom_site_type_symbol
_atom_site_fract_x
_atom_site_fract_y
_atom_site_fract_z
_atom_site_occupancy
Li1 Li 0.000 0.000 0.000 1
Tm1 Tm 0.250 0.250 0.250 1
Sc1 Sc 0.250 0.250 0.750 1
Pd1 Pd 0.000 0.000 0.500 1
```

=====

No. 3
DFT (PBE) results for a relaxed structure of K2BeGe.

Summary:
energy relative to the elements	0.795	eV per atom
crystal system	cubic
energy above the lowest structure with this stoichiometry	787	meV per atom

```
data_K2BeGe
_symmetry_space_group_name_H-M 'F m -3 m'
_symmetry_Int_Tables_number 225
_symmetry_space_group_name_Hall '-F 4 2 3'
_cell_length_a 7.909
_cell_length_b 7.909
_cell_length_c 7.909
_cell_angle_alpha 90.00
_cell_angle_beta 90.00
_cell_angle_gamma 90.00
loop_
_atom_site_label
_atom_site_type_symbol
_atom_site_fract_x
_atom_site_fract_y
_atom_site_fract_z
_atom_site_occupancy
K1 K 0.250 0.250 0.250 1
Be1 Be 0.000 0.000 0.000 1
Ge1 Ge 0.000 0.000 0.500 1
```

=====

No. 4
DFT (PBE) results for a relaxed structure of Re2SiAsN.

Summary:
raw formation energy	0.8864	eV/atom
crystal system	tetragonal

```
data_Re2SiAsN
_symmetry_space_group_name_H-M 'P 4/m m m'
_symmetry_Int_Tables_number 123
_symmetry_space_group_name_Hall '-P 4 2'
_cell_length_a 4.068
_cell_length_b 4.068
_cell_length_c 4.283
_cell_angle_alpha 90.00
_cell_angle_beta 90.00
_cell_angle_gamma 90.00
loop_
_atom_site_label
_atom_site_type_symbol
_atom_site_fract_x
_atom_site_fract_y
_atom_site_fract_z
_atom_site_occupancy
Re1 Re 0.000 0.500 0.000 1
Si1 Si 0.000 0.000 0.500 1
As1 As 0.500 0.500 0.500 1
N1 N 0.500 0.500 0.000 1
```

=====

No. 5
DFT (PBE) results for a relaxed structure of Np5PaAs6.

Summary:
energy relative to the elements	-0.753	eV per atom
crystal system	monoclinic

```
data_Np5PaAs6
_symmetry_space_group_name_H-M 'C 1 2/m 1'
_symmetry_Int_Tables_number 12
_symmetry_space_group_name_Hall '-C 2y'
_cell_length_a 7.115
_cell_length_b 12.328
_cell_length_c 7.123
_cell_angle_alpha 90.00
_cell_angle_beta 109.47
_cell_angle_gamma 90.00
loop_
_atom_site_label
_atom_site_type_symbol
_atom_site_fract_x
_atom_site_fract_y
_atom_site_fract_z
_atom_site_occupancy
Np1 Np 0.000 0.000 0.000 1
Np2 Np 0.000 0.167 0.500 1
Np3 Np 0.000 0.333 0.000 1
Pa1 Pa 0.000 0.500 0.500 1
As1 As 0.250 0.000 0.749 1
As2 As 0.250 0.166 0.250 1
```

=====

No. 6
DFT (PBE) results for a relaxed structure of Ca2Zr.

Summary:
energy relative to the elements	0.405	eV per atom
crystal system	orthorhombic
energy above the lowest structure with this stoichiometry	163	meV per atom

```
data_Ca2Zr
_symmetry_space_group_name_H-M 'C m c m'
_symmetry_Int_Tables_number 63
_symmetry_space_group_name_Hall '-C 2c 2'
_cell_length_a 3.437
_cell_length_b 18.920
_cell_length_c 5.918
_cell_angle_alpha 90.00
_cell_angle_beta 90.00
_cell_angle_gamma 90.00
loop_
_atom_site_label
_atom_site_type_symbol
_atom_site_fract_x
_atom_site_fract_y
_atom_site_fract_z
_atom_site_occupancy
Ca1 Ca 0.000 0.051 0.250 1
Ca2 Ca 0.000 0.279 0.750 1
Zr1 Zr 0.000 0.388 0.250 1
```

=====

No. 7
DFT (PBE) results for a relaxed structure of FeNiPt2.

Summary:
energy relative to the elements	-0.100	eV per atom
crystal system	trigonal

```
data_FeNiPt2
_symmetry_space_group_name_H-M 'R 3 m'
_symmetry_Int_Tables_number 160
_symmetry_space_group_name_Hall 'R 3 -2"'
_cell_length_a 2.7237
_cell_length_b 2.7237
_cell_length_c 25.8793
_cell_angle_alpha 90.00
_cell_angle_beta 90.00
_cell_angle_gamma 120.00
loop_
_atom_site_label
_atom_site_type_symbol
_atom_site_fract_x
_atom_site_fract_y
_atom_site_fract_z
_atom_site_occupancy
Fe1 Fe 0.0000 0.0000 0.0000 1
Ni1 Ni 0.0000 0.0000 0.7403 1
Pt1 Pt 0.0000 0.0000 0.2512 1
Pt2 Pt 0.0000 0.0000 0.4899 1
```

=====

No. 8
DFT (PBE) results for a relaxed structure of TaCd2Os.

Summary:
energy relative to the elements	0.476	eV per atom
crystal system	monoclinic
energy above the lowest structure with this stoichiometry	361	meV per atom

```
data_TaCd2Os
_symmetry_space_group_name_H-M 'C 1 2/m 1'
_symmetry_Int_Tables_number 12
_symmetry_space_group_name_Hall '-C 2y'
_cell_length_a 5.508
_cell_length_b 9.899
_cell_length_c 2.819
_cell_angle_alpha 90.00
_cell_angle_beta 110.16
_cell_angle_gamma 90.00
loop_
_atom_site_label
_atom_site_type_symbol
_atom_site_fract_x
_atom_site_fract_y
_atom_site_fract_z
_atom_site_occupancy
Ta1 Ta 0.000 0.000 0.000 1
Cd1 Cd 0.250 0.250 0.500 1
Os1 Os 0.000 0.500 0.000 1
```

=====

No. 9
DFT (PBE) results for a relaxed structure of Ni2PbCl.

Summary:
raw formation energy	0.6136	eV/atom
crystal system	cubic
energy above the lowest structure with this stoichiometry	564	meV per atom

```
data_Ni2PbCl
_symmetry_space_group_name_H-M 'F -4 3 m'
_symmetry_Int_Tables_number 216
_symmetry_space_group_name_Hall 'F -4 2 3'
_cell_length_a 6.641
_cell_length_b 6.641
_cell_length_c 6.641
_cell_angle_alpha 90.00
_cell_angle_beta 90.00
_cell_angle_gamma 90.00
loop_
_atom_site_label
_atom_site_type_symbol
_atom_site_fract_x
_atom_site_fract_y
_atom_site_fract_z
_atom_site_occupancy
Ni1 Ni 0.000 0.000 0.000 1
Ni2 Ni 0.250 0.250 0.250 1
Pb1 Pb 0.250 0.250 0.750 1
Cl1 Cl 0.000 0.000 0.500 1
```

=====

No. 10
DFT (PBE) results for a relaxed structure of ZrScSbTe2.

Summary:
raw formation energy	-0.0076	eV/atom
crystal system	tetragonal
energy above the lowest structure with this stoichiometry	0	meV per atom

```
data_ZrScSbTe2
_symmetry_space_group_name_H-M 'P 4/m m m'
_symmetry_Int_Tables_number 123
_symmetry_space_group_name_Hall '-P 4 2'
_cell_length_a 5.523
_cell_length_b 5.523
_cell_length_c 5.587
_cell_angle_alpha 90.00
_cell_angle_beta 90.00
_cell_angle_gamma 90.00
loop_
_atom_site_label
_atom_site_type_symbol
_atom_site_fract_x
_atom_site_fract_y
_atom_site_fract_z
_atom_site_occupancy
Zr1 Zr 0.000 0.000 0.000 1
Sc1 Sc 0.500 0.500 0.500 1
Sb1 Sb 0.000 0.000 0.500 1
Te1 Te 0.000 0.500 0.000 1
```

=====

Looking at mass density for the records above, in order, we have 4.5; 6.8; 2.1; 11.5; 10.5; 3.0; 15.1; 13.7; 8.2; 5.0 Mg/m³.